DFT (PBE-GGA) results for a relaxed TaBe2Se crystal.

POSCAR file:
```
TaBe2Se
1.0
3.174 0.000 0.000
0.000 3.174 0.000
0.000 0.000 5.310
Ta Be Se
1 2 1
Direct
0.000 0.000 0.000
0.000 0.000 0.465
0.500 0.500 0.283
0.500 0.500 0.718
```

Values from the calculation:
Uncorrected formation energy, eV/atom: 0.08
SG: P4mm, No. 99
ρ, kg/m³: 8626

=====

DFT (PBE-GGA) results for a relaxed ZnRe2Ru crystal.

POSCAR file:
```
ZnRe2Ru
1.0
2.780 0.000 0.000
0.000 2.780 0.000
0.000 0.000 7.514
Zn Re Ru
1 2 1
Direct
0.000 0.000 0.000
0.000 0.000 0.516
0.500 0.500 0.258
0.500 0.500 0.754
```

Values from the calculation:
ΔH_f (0 K), eV/atom: 0.10
SG: P4mm, No. 99
ρ, kg/m³: 15413

=====

DFT (PBE-GGA) results for a relaxed Li2CdPb crystal.

POSCAR file:
```
Li2CdPb
1.0
0.000 3.425 3.425
3.425 0.000 3.425
3.425 3.425 0.000
Li Cd Pb
2 1 1
Direct
0.250 0.250 0.250
0.750 0.750 0.750
0.000 0.000 0.000
0.500 0.500 0.500
```

Values from the calculation:
Relative energy among the computed polymorphs, eV per atom: 0.0000
ΔH_f (0 K), eV/atom: -0.27
SG: Fm-3m, No. 225
ρ, kg/m³: 6889

=====

DFT (PBE-GGA) results for a relaxed MgTl2As crystal.

POSCAR file:
```
MgTl2As
1.0
3.762 -2.164 0.000
3.762 2.164 0.000
-2.496 0.000 7.198
Mg Tl As
1 2 1
Direct
0.000 0.000 0.000
0.236 0.236 0.712
0.454 0.454 0.366
0.699 0.699 0.096
```

Values from the calculation:
Relative energy among the computed polymorphs, eV per atom: 0.0000
ΔH_f (0 K), eV/atom: -0.12
SG: Cm, No. 8
ρ, kg/m³: 7198

=====

Which value of ρ does entry 3 give? 6889 kg/m³

=====

Among the records above, which one has the highest ρ? ZnRe2Ru